(1)
The following is a DFT calculation (GGA-PBE) of an optimized crystal structure of Nd13Er2.

Size of the total moment (μB per formula unit): 0.0
Polymorph energy (0 for the lowest one) (meV per atom): 83.3
Crystal system: trigonal

a = 7.2168 Å, b = 7.2168 Å, c = 35.3816 Å
α = 90.00°, β = 90.00°, γ = 120.00°
With the nearest neighbours (Å) after each atom.
Space group R-3m (No. 166, hexagonal axes)
Inequivalent atoms, fractional coordinates:
Nd  0.0000  0.0000  0.0000  12 Nd 3.95
Nd  0.0028  0.5014  0.9547  5 Nd 3.20-3.58, 1 Er 3.56
Nd  0.0034  0.5017  0.7905  8 Nd 3.48-3.69, 3 Er 3.57-3.61
Er  0.0000  0.0000  0.2062  12 Nd 3.56-3.61

(2)
The following is a DFT calculation (GGA-PBE) of an optimized crystal structure of Zr4Zn3Cd.

Size of the total moment (μB per formula unit): 0.0
Crystal system: tetragonal

a = 4.7899 Å, b = 4.7899 Å, c = 6.8015 Å
α = 90.00°, β = 90.00°, γ = 90.00°
With the nearest neighbours (Å) after each atom.
Space group P4/mmm (No. 123)
Inequivalent atoms, fractional coordinates:
Zr  0.0000  0.5000  0.2419  6 Zn 2.91-2.97, 2 Cd 2.97
Zn  0.0000  0.0000  0.0000  8 Zr 2.91
Zn  0.0000  0.0000  0.5000  8 Zr 2.97
Zn  0.5000  0.5000  0.0000  8 Zr 2.91
Cd  0.5000  0.5000  0.5000  8 Zr 2.97

(3)
The following is a DFT calculation (GGA-PBE) of an optimized crystal structure of RbH6I2N2.

Size of the total moment (μB per formula unit): 0.0
Crystal system: triclinic

a = 6.5609 Å, b = 6.9284 Å, c = 7.0480 Å
α = 101.85°, β = 114.21°, γ = 110.45°
With the nearest neighbours (Å) after each atom.
Space group P-1 (No. 2)
Inequivalent atoms, fractional coordinates:
Rb  0.0000  0.0000  0.0000  2 N 3.00
H  0.3344  0.2290  0.7371  1 N 1.03
H  0.3521  0.9979  0.7358  1 N 1.02
H  0.4617  0.7684  0.0280  1 N 1.02
I  0.2544  0.5154  0.4990  3 H 2.90-3.21
N  0.3573  0.1348  0.8313  3 H 1.02-1.03

(4)
The following is a DFT calculation (GGA-PBE) of an optimized crystal structure of HgSb2Se.

Size of the total moment (μB per formula unit): 0.0
Polymorph energy (0 for the lowest one) (meV per atom): 198.1
Crystal system: orthorhombic

a = 3.6214 Å, b = 5.7840 Å, c = 10.0476 Å
α = 90.00°, β = 90.00°, γ = 90.00°
With the nearest neighbours (Å) after each atom.
Space group Cmmm (No. 65)
Inequivalent atoms, fractional coordinates:
Hg  0.0000  0.0000  0.0000  4 Sb 3.33, 6 Hg 3.41-3.62
Sb  0.0000  0.5000  0.2778  2 Se 2.87
Se  0.0000  0.0000  0.5000  4 Sb 2.87

For each record above, in turn, the calculated E values are -4.6012; -5.0709; -4.2310; -2.8128 eV per atom.